[1]
The following is a DFT calculation (GGA-PBE) of an optimized crystal structure of ScAgSbPd.

The structure in CIF format:
```
data_ScAgSbPd
_chemical_formula_sum 'Sc4 Ag4 Sb4 Pd4'
_cell_length_a 6.782
_cell_length_b 6.782
_cell_length_c 6.782
_cell_angle_alpha 90.00
_cell_angle_beta 90.00
_cell_angle_gamma 90.00
_space_group_name_H-M_alt 'F -4 3 m'
_space_group_IT_number 216
_space_group_name_Hall 'F -4 2 3'
loop_
_atom_site_label
_atom_site_fract_x
_atom_site_fract_y
_atom_site_fract_z
Sc1 0.000 0.000 0.000
Ag1 0.000 0.000 0.500
Sb1 0.250 0.250 0.250
Pd1 0.250 0.250 0.750
```

Output
Calculated volume (Å³/atom): 19.50
Raw formation energy (kJ per mole of atoms): -44
Mass density (g cm⁻³): 8.1

[2]
The following is a DFT calculation (GGA-PBE) of an optimized crystal structure of AgSnSbPd2.

The structure in CIF format:
```
data_AgSnSbPd2
_chemical_formula_sum 'Ag1 Sn1 Sb1 Pd2'
_cell_length_a 5.073
_cell_length_b 5.073
_cell_length_c 4.927
_cell_angle_alpha 90.00
_cell_angle_beta 90.00
_cell_angle_gamma 90.00
_space_group_name_H-M_alt 'P 4/m m m'
_space_group_IT_number 123
_space_group_name_Hall '-P 4 2'
loop_
_atom_site_label
_atom_site_fract_x
_atom_site_fract_y
_atom_site_fract_z
Ag1 0.000 0.000 0.000
Sn1 0.500 0.500 0.500
Sb1 0.000 0.000 0.500
Pd1 0.000 0.500 0.000
```

Output
Calculated volume (Å³/atom): 25.36
Raw formation energy (kJ per mole of atoms): 57
Mass density (g cm⁻³): 7.3

[3]
The following is a DFT calculation (GGA-PBE) of an optimized crystal structure of Sr2AgSb3Pd4.

The structure in CIF format:
```
data_Sr2AgSb3Pd4
_chemical_formula_sum 'Sr2 Ag1 Sb3 Pd4'
_cell_length_a 4.649
_cell_length_b 4.649
_cell_length_c 10.775
_cell_angle_alpha 90.00
_cell_angle_beta 90.00
_cell_angle_gamma 90.00
_space_group_name_H-M_alt 'P -4 m 2'
_space_group_IT_number 115
loop_
_space_group_symop_operation_xyz
'x,y,z'
'y,-x,-z'
'-x,-y,z'
'-y,x,-z'
'-x,y,z'
'-y,-x,-z'
'x,-y,z'
'y,x,-z'
loop_
_atom_site_label
_atom_site_fract_x
_atom_site_fract_y
_atom_site_fract_z
Sr1 0.000 0.500 0.250
Ag1 0.000 0.000 0.500
Sb1 0.000 0.500 0.873
Sb2 0.500 0.500 0.500
Pd1 0.000 0.000 0.000
Pd2 0.000 0.500 0.631
Pd3 0.500 0.500 0.000
```

Output
Calculated volume (Å³/atom): 23.29
Raw formation energy (kJ per mole of atoms): -69
Mass density (g cm⁻³): 7.7

[4]
The following is a DFT calculation (GGA-PBE) of an optimized crystal structure of Sr2AgSb4Pd3.

The structure in CIF format:
```
data_Sr2AgSb4Pd3
_chemical_formula_sum 'Sr2 Ag1 Sb4 Pd3'
_cell_length_a 4.704
_cell_length_b 4.704
_cell_length_c 11.077
_cell_angle_alpha 90.00
_cell_angle_beta 90.00
_cell_angle_gamma 90.00
_space_group_name_H-M_alt 'P -4 m 2'
_space_group_IT_number 115
loop_
_space_group_symop_operation_xyz
'x,y,z'
'y,-x,-z'
'-x,-y,z'
'-y,x,-z'
'-x,y,z'
'-y,-x,-z'
'x,-y,z'
'y,x,-z'
loop_
_atom_site_label
_atom_site_fract_x
_atom_site_fract_y
_atom_site_fract_z
Sr1 0.000 0.500 0.244
Ag1 0.500 0.500 0.000
Sb1 0.000 0.000 0.500
Sb2 0.000 0.500 0.865
Sb3 0.500 0.500 0.500
Pd1 0.000 0.000 0.000
Pd2 0.000 0.500 0.625
```

Output
Calculated volume (Å³/atom): 24.51
Raw formation energy (kJ per mole of atoms): -67
Mass density (g cm⁻³): 7.4

[5]
The following is a DFT calculation (GGA-PBE) of an optimized crystal structure of SrAgSb2Pd5.

The structure in CIF format:
```
data_SrAgSb2Pd5
_chemical_formula_sum 'Sr1 Ag1 Sb2 Pd5'
_cell_length_a 5.091
_cell_length_b 5.091
_cell_length_c 7.902
_cell_angle_alpha 90.00
_cell_angle_beta 90.00
_cell_angle_gamma 90.00
_space_group_name_H-M_alt 'P 4/m m m'
_space_group_IT_number 123
_space_group_name_Hall '-P 4 2'
loop_
_atom_site_label
_atom_site_fract_x
_atom_site_fract_y
_atom_site_fract_z
Sr1 0.000 0.000 0.000
Ag1 0.000 0.000 0.500
Sb1 0.500 0.500 0.318
Pd1 0.000 0.500 0.313
Pd2 0.500 0.500 0.000
```

Output
Calculated volume (Å³/atom): 22.76
Raw formation energy (kJ per mole of atoms): -22
Mass density (g cm⁻³): 7.9

[6]
The following is a DFT calculation (GGA-PBE) of an optimized crystal structure of Sr2Ag3Sb4Pd.

The structure in CIF format:
```
data_Sr2Ag3Sb4Pd
_chemical_formula_sum 'Sr2 Ag3 Sb4 Pd1'
_cell_length_a 4.735
_cell_length_b 4.735
_cell_length_c 11.621
_cell_angle_alpha 90.00
_cell_angle_beta 90.00
_cell_angle_gamma 90.00
_space_group_name_H-M_alt 'P -4 m 2'
_space_group_IT_number 115
loop_
_space_group_symop_operation_xyz
'x,y,z'
'y,-x,-z'
'-x,-y,z'
'-y,x,-z'
'-x,y,z'
'-y,-x,-z'
'x,-y,z'
'y,x,-z'
loop_
_atom_site_label
_atom_site_fract_x
_atom_site_fract_y
_atom_site_fract_z
Sr1 0.000 0.500 0.231
Ag1 0.000 0.000 0.000
Ag2 0.000 0.500 0.642
Sb1 0.000 0.000 0.500
Sb2 0.000 0.500 0.875
Sb3 0.500 0.500 0.500
Pd1 0.500 0.500 0.000
```

Output
Calculated volume (Å³/atom): 26.05
Raw formation energy (kJ per mole of atoms): -47
Mass density (g cm⁻³): 7.0

| no. | E (eV per atom) |
| --- | --- |
| 1 | -5.081 |
| 2 | -3.684 |
| 3 | -4.648 |
| 4 | -4.522 |
| 5 | -4.530 |
| 6 | -3.844 |